# 1
Here is a relaxed structure of Co6NiRh from Alexandria via LeMat-Bulk. Energies are from PBE-GGA.

E above lowest polymorph (meV per atom): 0.0
Total magnetic moment (μB per formula unit): 11.55
Formation enthalpy at 0 K (eV per atom): 0.01
Space group: P-6m2, No. 187
Final energy (eV per atom): -6.963

Cell: 4.067 5.102 5.102 Å, 119.99 90.00 90.00°
Last column: magnetic moment on the atom in μB.
Sites, in units of the cell vectors:
Co 0.000 0.081 0.415  1.73
Co 0.000 0.585 0.919  1.73
Co 0.000 0.584 0.416  1.73
Co 0.500 0.431 0.090  1.73
Co 0.500 0.910 0.569  1.73
Co 0.500 0.910 0.090  1.73
Ni 0.500 0.417 0.583  0.77
Rh 0.000 0.083 0.917  0.66

# 2
Here is a relaxed structure of KHfTaCo2 from Alexandria via LeMat-Bulk. Energies are from PBE-GGA.

Total magnetic moment (μB per formula unit): 1.63
Formation enthalpy at 0 K (eV per atom): 2.26
Space group: P4/mmm, No. 123
Final energy (eV per atom): -5.162

Cell: 4.366 4.748 4.366 Å, 90.00 90.00 90.00°
Last column: magnetic moment on the atom in μB.
Sites, in units of the cell vectors:
Co 0.000 0.000 0.500  0.83
Co 0.500 0.000 0.000  1.04
K 0.000 0.000 0.000  0.01
Hf 0.500 0.500 0.500  -0.09
Ta 0.000 0.500 0.000  0.01

# 3
Here is a relaxed structure of NaAuCl4 from Alexandria via LeMat-Bulk. Energies are from PBE-GGA.

Formation energy (no corrections) (eV/atom): -0.786
Total magnetic moment (μB per formula unit): 0.00
Space group: Ibam, No. 72
Final energy (eV per atom): -2.783

Cell: 7.058 7.125 8.038 Å, 116.31 116.03 90.00°
Sites, in units of the cell vectors:
Na 0.750 0.750 0.000
Na 0.250 0.250 0.000
Au 0.500 0.000 0.500
Au 0.000 0.500 0.500
Cl 0.703 0.537 0.242
Cl 0.538 0.036 0.241
Cl 0.203 0.705 0.242
Cl 0.038 0.205 0.241
Cl 0.462 0.964 0.759
Cl 0.297 0.463 0.758
Cl 0.962 0.795 0.759
Cl 0.797 0.295 0.758

# 4
Here is a relaxed structure of Mg2ZrPt from Alexandria via LeMat-Bulk. Energies are from PBE-GGA.

Total magnetic moment (μB per formula unit): 0.00
Formation enthalpy at 0 K (eV per atom): -0.41
Space group: C2/m, No. 12
Final energy (eV per atom): -4.858

Cell: 6.040 6.040 5.002 Å, 65.41 65.41 28.70°
Sites, in units of the cell vectors:
Mg 0.966 0.966 0.034
Mg 0.534 0.534 0.466
Pt 0.250 0.250 0.250
Zr 0.750 0.750 0.750

# 5
Here is a relaxed structure of Tb4Er6Tl from Alexandria via LeMat-Bulk. Energies are from PBE-GGA.

Total magnetic moment (μB per formula unit): 0.00
Formation enthalpy at 0 K (eV per atom): 0.14
Space group: P-6m2, No. 187
Final energy (eV per atom): -4.252

Cell: 3.445 10.866 10.866 Å, 120.00 90.00 90.00°
Sites, in units of the cell vectors:
Tb 0.500 0.311 0.156
Tb 0.500 0.844 0.156
Tb 0.000 0.333 0.667
Tb 0.500 0.844 0.689
Er 0.500 0.635 0.818
Er 0.500 0.182 0.365
Er 0.000 0.513 0.026
Er 0.000 0.513 0.487
Er 0.000 0.974 0.487
Er 0.500 0.182 0.818
Tl 0.000 0.000 0.000

# 6
Here is a relaxed structure of ScBeCd2 from Alexandria via LeMat-Bulk. Energies are from PBE-GGA.

E above lowest polymorph (meV per atom): 26.8
Total magnetic moment (μB per formula unit): 0.00
Formation enthalpy at 0 K (eV per atom): 0.04
Space group: I-4m2, No. 119
Final energy (eV per atom): -2.934

Cell: 4.704 4.704 4.704 Å, 120.32 120.30 89.47°
Sites, in units of the cell vectors:
Sc 0.500 0.500 0.000
Be 0.250 0.750 0.500
Cd 0.000 0.000 0.000
Cd 0.750 0.250 0.500

# 7
Here is a relaxed structure of Zr2TaTl from Alexandria via LeMat-Bulk. Energies are from PBE-GGA.

E above lowest polymorph (meV per atom): 136.1
Total magnetic moment (μB per formula unit): 0.00
Formation enthalpy at 0 K (eV per atom): 0.13
Space group: Fm-3m, No. 225
Final energy (eV per atom): -7.696

Cell: 4.952 4.952 4.952 Å, 60.00 60.00 60.00°
Sites, in units of the cell vectors:
Tl 0.500 0.500 0.500
Zr 0.250 0.250 0.250
Zr 0.750 0.750 0.750
Ta 0.000 0.000 0.000

# 8
Here is a relaxed structure of Li6GaAu12 from Alexandria via LeMat-Bulk. Energies are from PBE-GGA.

Total magnetic moment (μB per formula unit): 0.00
Formation enthalpy at 0 K (eV per atom): -0.36
Space group: R-3, No. 148
Final energy (eV per atom): -3.192

Cell: 7.393 7.393 7.393 Å, 106.24 106.24 106.24°
Sites, in units of the cell vectors:
Li 0.795 0.917 0.526
Li 0.474 0.205 0.083
Li 0.083 0.474 0.205
Li 0.205 0.083 0.474
Li 0.526 0.795 0.917
Li 0.917 0.526 0.795
Ga 0.000 0.000 0.000
Au 0.810 0.520 0.402
Au 0.402 0.810 0.520
Au 0.520 0.402 0.810
Au 0.190 0.480 0.598
Au 0.598 0.190 0.480
Au 0.480 0.598 0.190
Au 0.865 0.735 0.152
Au 0.265 0.848 0.135
Au 0.848 0.135 0.265
Au 0.135 0.265 0.848
Au 0.735 0.152 0.865
Au 0.152 0.865 0.735

# 9
Here is a relaxed structure of Na2HgF6 from Alexandria via LeMat-Bulk. Energies are from PBE-GGA.

E above lowest polymorph (meV per atom): 10.2
Formation energy (no corrections) (eV/atom): -1.742
Total magnetic moment (μB per formula unit): 2.00
Space group: P2_1/c, No. 14
Final energy (eV per atom): -3.316

Cell: 5.919 5.749 8.804 Å, 90.00 96.43 90.00°
Last column: magnetic moment on the atom in μB.
Sites, in units of the cell vectors:
Na 0.975 0.453 0.793  0.00
Na 0.525 0.953 0.707  0.00
Na 0.475 0.047 0.293  0.00
Na 0.025 0.547 0.207  0.00
Hg 0.500 0.500 0.000  -0.50
Hg 0.000 0.000 0.500  -0.50
F 0.826 0.846 0.303  -0.21
F 0.843 0.753 0.636  -0.24
F 0.801 0.689 0.974  -0.23
F 0.699 0.189 0.526  -0.23
F 0.657 0.253 0.864  -0.24
F 0.674 0.346 0.197  -0.21
F 0.174 0.154 0.697  -0.21
F 0.157 0.247 0.364  -0.24
F 0.199 0.311 0.026  -0.23
F 0.301 0.811 0.474  -0.23
F 0.343 0.747 0.136  -0.24
F 0.326 0.654 0.803  -0.21

# 10
Here is a relaxed structure of KU2FeS4 from Alexandria via LeMat-Bulk. Energies are from PBE-GGA.

Formation energy (no corrections) (eV/atom): -1.227
Total magnetic moment (μB per formula unit): 2.69
Space group: Cmcm, No. 63
Final energy (eV per atom): -7.307

Cell: 3.792 7.181 13.367 Å, 90.00 90.00 105.31°
Last column: magnetic moment on the atom in μB.
Sites, in units of the cell vectors:
K 0.101 0.202 0.750  0.00
K 0.899 0.798 0.250  0.00
U 0.365 0.730 0.560  2.33
U 0.635 0.270 0.060  2.33
U 0.635 0.270 0.440  2.33
U 0.365 0.730 0.940  2.33
Fe 0.829 0.658 0.750  -2.29
Fe 0.171 0.342 0.250  -2.29
S 0.267 0.534 0.114  -0.07
S 0.733 0.466 0.614  -0.07
S 0.733 0.466 0.886  -0.07
S 0.267 0.534 0.386  -0.07
S 0.000 0.000 0.500  -0.08
S 0.000 0.000 0.000  -0.08
S 0.426 0.852 0.750  -0.07
S 0.574 0.148 0.250  -0.07

# 11
Here is a relaxed structure of Na2Tl12Cd5 from Alexandria via LeMat-Bulk. Energies are from PBE-GGA.

Total magnetic moment (μB per formula unit): 0.00
Formation enthalpy at 0 K (eV per atom): 0.01
Space group: C2/m, No. 12
Final energy (eV per atom): -1.867

Cell: 6.191 10.409 10.409 Å, 59.54 76.51 76.51°
Sites, in units of the cell vectors:
Na 0.000 0.195 0.805
Na 0.000 0.805 0.195
Tl 0.967 0.856 0.856
Tl 0.184 0.487 0.127
Tl 0.184 0.127 0.487
Tl 0.605 0.649 0.154
Tl 0.605 0.154 0.649
Tl 0.264 0.475 0.475
Tl 0.736 0.525 0.525
Tl 0.395 0.351 0.846
Tl 0.395 0.846 0.351
Tl 0.816 0.513 0.873
Tl 0.816 0.873 0.513
Tl 0.033 0.144 0.144
Cd 0.520 0.178 0.178
Cd 0.723 0.311 0.311
Cd 0.500 0.000 0.000
Cd 0.277 0.689 0.689
Cd 0.480 0.822 0.822

# 12
Here is a relaxed structure of CsTl2PdCl8 from Alexandria via LeMat-Bulk. Energies are from PBE-GGA.

Formation energy (no corrections) (eV/atom): -0.747
Total magnetic moment (μB per formula unit): 1.00
Space group: R32, No. 155
Final energy (eV per atom): -2.876

Cell: 6.670 6.670 11.020 Å, 72.38 72.38 60.00°
Last column: magnetic moment on the atom in μB.
Sites, in units of the cell vectors:
Cs 0.000 0.000 0.000  0.00
Tl 0.755 0.755 0.735  -0.01
Tl 0.245 0.245 0.265  -0.01
Pd 0.500 0.500 0.500  0.73
Cl 0.674 0.674 0.978  0.00
Cl 0.326 0.326 0.022  0.00
Cl 0.571 0.245 0.333  0.03
Cl 0.755 0.429 0.667  0.03
Cl 0.149 0.755 0.667  0.03
Cl 0.245 0.851 0.333  0.03
Cl 0.851 0.571 0.333  0.03
Cl 0.429 0.149 0.667  0.03